1.
The following is a PBE-GGA calculation of an optimized crystal structure of Li2AuF6, from Alexandria.

CIF file:
```
data_Li2AuF6
_cell_length_a 8.657
_cell_length_b 14.414
_cell_length_c 3.938
_cell_angle_alpha 90.00
_cell_angle_beta 91.44
_cell_angle_gamma 90.00
_space_group_name_H-M_alt 'C 1 2/c 1'
_space_group_IT_number 15
_space_group_name_Hall '-C 2yc'
loop_
_atom_site_label
_atom_site_type_symbol
_atom_site_fract_x
_atom_site_fract_y
_atom_site_fract_z
Li1 Li 0.127 0.074 0.007
Au1 Au 0.000 0.314 0.750
F1 F 0.113 0.066 0.506
F2 F 0.114 0.218 0.993
F3 F 0.123 0.407 0.984
```

Calculated values
- E above lowest polymorph: 93 meV per atom
- Formation energy (no corrections): -40.25 kcal/mol of atoms
- E: -3.783 eV per atom
- Calculated density: 4392 kg/m3

***

2.
The following is a PBE-GGA calculation of an optimized crystal structure of Cr2TeCl, from Alexandria.

CIF file:
```
data_Cr2TeCl
_cell_length_a 4.052
_cell_length_b 5.486
_cell_length_c 4.114
_cell_angle_alpha 90.00
_cell_angle_beta 90.07
_cell_angle_gamma 90.00
_space_group_name_H-M_alt 'P 1 m 1'
_space_group_IT_number 6
_space_group_name_Hall 'P -2y'
loop_
_atom_site_label
_atom_site_type_symbol
_atom_site_fract_x
_atom_site_fract_y
_atom_site_fract_z
Cr1 Cr 0.000 0.000 0.000
Cr2 Cr 0.380 0.500 0.501
Te1 Te 0.502 0.000 0.500
Cl1 Cl 0.987 0.500 0.000
```

Calculated values
- E above lowest polymorph: 42 meV per atom
- Formation energy (no corrections): -0.32 kcal/mol of atoms
- E: -6.072 eV per atom
- Calculated density: 4848 kg/m3

***

3.
The following is a PBE-GGA calculation of an optimized crystal structure of ThGaCuAg, from Alexandria.

CIF file:
```
data_ThGaCuAg
_cell_length_a 6.868
_cell_length_b 6.868
_cell_length_c 6.868
_cell_angle_alpha 90.00
_cell_angle_beta 90.00
_cell_angle_gamma 90.00
_space_group_name_H-M_alt 'F -4 3 m'
_space_group_IT_number 216
_space_group_name_Hall 'F -4 2 3'
loop_
_atom_site_label
_atom_site_type_symbol
_atom_site_fract_x
_atom_site_fract_y
_atom_site_fract_z
Th1 Th 0.000 0.000 0.000
Ga1 Ga 0.250 0.250 0.750
Cu1 Cu 0.250 0.250 0.250
Ag1 Ag 0.000 0.000 0.500
```

Calculated values
- Formation energy from the elements: -0.1804 eV per atom
- E: -4.529 eV per atom
- Calculated density: 9700 kg/m3

***

4.
The following is a PBE-GGA calculation of an optimized crystal structure of Na3Tl5Hg2, from Alexandria.

CIF file:
```
data_Na3Tl5Hg2
_cell_length_a 10.232
_cell_length_b 16.899
_cell_length_c 8.562
_cell_angle_alpha 90.00
_cell_angle_beta 125.85
_cell_angle_gamma 90.00
_space_group_name_H-M_alt 'C 1 2/c 1'
_space_group_IT_number 15
_space_group_name_Hall '-C 2yc'
loop_
_atom_site_label
_atom_site_type_symbol
_atom_site_fract_x
_atom_site_fract_y
_atom_site_fract_z
Na1 Na 0.000 0.024 0.250
Na2 Na 0.248 0.142 0.765
Tl1 Tl 0.000 0.217 0.250
Tl2 Tl 0.000 0.277 0.750
Tl3 Tl 0.000 0.472 0.750
Tl4 Tl 0.139 0.372 0.520
Hg1 Hg 0.129 0.121 0.029
```

Calculated values
- Formation energy from the elements: -0.0782 eV per atom
- E: -1.717 eV per atom
- Calculated density: 8258 kg/m3

***

5.
The following is a PBE-GGA calculation of an optimized crystal structure of ScCoMo2, from Alexandria.

CIF file:
```
data_ScCoMo2
_cell_length_a 3.717
_cell_length_b 3.717
_cell_length_c 9.089
_cell_angle_alpha 90.00
_cell_angle_beta 90.00
_cell_angle_gamma 90.00
_space_group_name_H-M_alt 'I 4/m m m'
_space_group_IT_number 139
_space_group_name_Hall '-I 4 2'
loop_
_atom_site_label
_atom_site_type_symbol
_atom_site_fract_x
_atom_site_fract_y
_atom_site_fract_z
Sc1 Sc 0.000 0.000 0.000
Co1 Co 0.000 0.000 0.500
Mo1 Mo 0.000 0.500 0.250
```

Calculated values
- Formation energy from the elements: 0.1222 eV per atom
- E above lowest polymorph: 106 meV per atom
- E: -8.653 eV per atom
- Calculated density: 7822 kg/m3

***

6.
The following is a PBE-GGA calculation of an optimized crystal structure of BeH3I, from Alexandria.

CIF file:
```
data_BeH3I
_cell_length_a 3.670
_cell_length_b 3.670
_cell_length_c 3.670
_cell_angle_alpha 90.00
_cell_angle_beta 90.00
_cell_angle_gamma 90.00
_space_group_name_H-M_alt 'P m -3 m'
_space_group_IT_number 221
_space_group_name_Hall '-P 4 2 3'
loop_
_atom_site_label
_atom_site_type_symbol
_atom_site_fract_x
_atom_site_fract_y
_atom_site_fract_z
Be1 Be 0.000 0.000 0.000
H1 H 0.000 0.000 0.500
I1 I 0.500 0.500 0.500
```

Calculated values
- E above lowest polymorph: 910 meV per atom
- E: -2.165 eV per atom
- Calculated density: 4667 kg/m3

***

7.
The following is a PBE-GGA calculation of an optimized crystal structure of CoN2Cl, from Alexandria.

CIF file:
```
data_CoN2Cl
_cell_length_a 3.0601
_cell_length_b 3.0601
_cell_length_c 18.2177
_cell_angle_alpha 90.00
_cell_angle_beta 90.00
_cell_angle_gamma 120.00
_space_group_name_H-M_alt 'R -3 m'
_space_group_IT_number 166
_space_group_name_Hall '-R 3 2"'
loop_
_atom_site_label
_atom_site_type_symbol
_atom_site_fract_x
_atom_site_fract_y
_atom_site_fract_z
Co1 Co 0.0000 0.0000 0.0000
N1 N 0.0000 0.0000 0.0929
Cl1 Cl 0.0000 0.0000 0.5000
```

Calculated values
- E above lowest polymorph: 1059 meV per atom
- Formation energy (no corrections): 43.76 kcal/mol of atoms
- E: -4.503 eV per atom
- Calculated density: 4127 kg/m3

***

8.
The following is a PBE-GGA calculation of an optimized crystal structure of NdCo9B4, from Alexandria.

CIF file:
```
data_NdCo9B4
_cell_length_a 7.464
_cell_length_b 7.464
_cell_length_c 10.608
_cell_angle_alpha 90.00
_cell_angle_beta 90.00
_cell_angle_gamma 90.00
_space_group_name_H-M_alt 'I 4/m c m'
_space_group_IT_number 140
_space_group_name_Hall '-I 4 2c'
loop_
_atom_site_label
_atom_site_type_symbol
_atom_site_fract_x
_atom_site_fract_y
_atom_site_fract_z
Nd1 Nd 0.000 0.000 0.250
Co1 Co 0.000 0.500 0.000
Co2 Co 0.084 0.193 0.000
Co3 Co 0.148 0.352 0.331
B1 B 0.145 0.355 0.145
```

Calculated values
- Formation energy from the elements: -0.1795 eV per atom
- E: -6.996 eV per atom
- Calculated density: 8068 kg/m3

***

9.
The following is a PBE-GGA calculation of an optimized crystal structure of NdHo3Tm6, from Alexandria.

CIF file:
```
data_NdHo3Tm6
_cell_length_a 10.884
_cell_length_b 18.766
_cell_length_c 6.135
_cell_angle_alpha 90.00
_cell_angle_beta 90.00
_cell_angle_gamma 90.00
_space_group_name_H-M_alt 'C m c 21'
_space_group_IT_number 36
_space_group_name_Hall 'C 2c -2'
loop_
_atom_site_label
_atom_site_type_symbol
_atom_site_fract_x
_atom_site_fract_y
_atom_site_fract_z
Nd1 Nd 0.000 0.210 0.000
Ho1 Ho 0.000 0.391 0.093
Ho2 Ho 0.175 0.108 0.710
Tm1 Tm 0.000 0.048 0.249
Tm2 Tm 0.000 0.291 0.528
Tm3 Tm 0.166 0.452 0.643
Tm4 Tm 0.243 0.211 0.304
```

Calculated values
- Formation energy from the elements: 0.1492 eV per atom
- E above lowest polymorph: 0 meV per atom
- E: -4.384 eV per atom
- Calculated density: 8761 kg/m3

***

10.
The following is a PBE-GGA calculation of an optimized crystal structure of NaCaS2O8, from Alexandria.

CIF file:
```
data_NaCaS2O8
_cell_length_a 5.2738
_cell_length_b 5.2738
_cell_length_c 7.2694
_cell_angle_alpha 90.00
_cell_angle_beta 90.00
_cell_angle_gamma 120.00
_space_group_name_H-M_alt 'P -3 m 1'
_space_group_IT_number 164
_space_group_name_Hall '-P 3 2"'
loop_
_atom_site_label
_atom_site_type_symbol
_atom_site_fract_x
_atom_site_fract_y
_atom_site_fract_z
Na1 Na 0.0000 0.0000 0.0000
Ca1 Ca 0.0000 0.0000 0.5000
S1 S 0.3333 0.6667 0.3074
O1 O 0.1797 0.3594 0.2386
O2 O 0.3333 0.6667 0.5111
```

Calculated values
- Formation energy (no corrections): -40.17 kcal/mol of atoms
- E: -6.012 eV per atom
- Calculated density: 2420 kg/m3

***

11.
The following is a PBE-GGA calculation of an optimized crystal structure of Ta2VRh2, from Alexandria.

CIF file:
```
data_Ta2VRh2
_cell_length_a 7.382
_cell_length_b 7.382
_cell_length_c 3.056
_cell_angle_alpha 90.00
_cell_angle_beta 90.00
_cell_angle_gamma 90.00
_space_group_name_H-M_alt 'P 4/m b m'
_space_group_IT_number 127
_space_group_name_Hall '-P 4 2ab'
loop_
_atom_site_label
_atom_site_type_symbol
_atom_site_fract_x
_atom_site_fract_y
_atom_site_fract_z
Ta1 Ta 0.171 0.329 0.000
V1 V 0.000 0.000 0.500
Rh1 Rh 0.131 0.631 0.500
```

Calculated values
- Formation energy from the elements: -0.1408 eV per atom
- E: -9.646 eV per atom
- Calculated density: 12339 kg/m3

***

12.
The following is a PBE-GGA calculation of an optimized crystal structure of Pr5HfGe4, from Alexandria.

CIF file:
```
data_Pr5HfGe4
_cell_length_a 18.395
_cell_length_b 4.215
_cell_length_c 8.017
_cell_angle_alpha 90.00
_cell_angle_beta 106.25
_cell_angle_gamma 90.00
_space_group_name_H-M_alt 'C 1 2/m 1'
_space_group_IT_number 12
_space_group_name_Hall '-C 2y'
loop_
_atom_site_label
_atom_site_type_symbol
_atom_site_fract_x
_atom_site_fract_y
_atom_site_fract_z
Pr1 Pr 0.000 0.000 0.000
Pr2 Pr 0.166 0.500 0.854
Pr3 Pr 0.167 0.500 0.340
Hf1 Hf 0.000 0.000 0.500
Ge1 Ge 0.001 0.500 0.730
Ge2 Ge 0.162 0.000 0.598
```

Calculated values
- Formation energy from the elements: -0.5000 eV per atom
- E: -5.732 eV per atom
- Calculated density: 6531 kg/m3